An optimized crystal structure of RbNbCl2, computed with PBE.

Summary:
Relative energy among the computed polymorphs, meV per atom: 357
Total moment, μB/f.u.: 4.00
Uncorrected formation energy, eV/atom: -0.163
Crystal system: cubic
Fermi-level density of states, states/eV per cell: 4.9

Cell lengths 5.2684, 5.2684, 5.2684 Å; angles 60.00, 60.00, 60.00 degrees
Each line ends with the local moment (μB).
Sites, in units of the cell vectors:
Rb (0.0000, 0.0000, 0.0000)  0.04
Cl (0.2500, 0.2500, 0.2500)  -0.02
Cl (0.7500, 0.7500, 0.7500)  -0.02
Nb (0.5000, 0.5000, 0.5000)  3.07

---

An optimized crystal structure of ErSnTe3, computed with PBE.

Summary:
Total moment, μB/f.u.: 0.00
Uncorrected formation energy, eV/atom: -0.744
Crystal system: monoclinic
Fermi-level density of states, states/eV per cell: 0.9

Cell lengths 4.5510, 8.1408, 9.6440 Å; angles 103.85, 103.65, 90.00 degrees
Sites, in units of the cell vectors:
Te (0.6685, 0.9949, 0.3371)
Te (0.1708, 0.5807, 0.3416)
Te (0.9625, 0.8235, 0.9250)
Sn (0.4531, 0.3030, 0.9062)
Te (0.8292, 0.4193, 0.6584)
Te (0.3315, 0.0051, 0.6629)
Er (0.2197, 0.2481, 0.4395)
Er (0.7803, 0.7519, 0.5605)
Te (0.0375, 0.1765, 0.0750)
Sn (0.5469, 0.6970, 0.0938)